The following is a PBE calculation of crystalline BaSbTe3 at its relaxed geometry, from Alexandria.

Computed properties:
total energy = -2.545 eV/atom
excess energy over the best structure of this formula in the dataset = 1.3345 eV per atom
uncorrected formation energy = 0.55 eV/atom
V = 57.63 Å³/atom
space-group type = No. 221

Cell: 6.605 6.605 6.605 Å, 90.00 90.00 90.00°
Sites, in units of the cell vectors:
Ba 0.000 0.000 0.000
Sb 0.500 0.500 0.500
Te 0.000 0.500 0.000
Te 0.000 0.000 0.500
Te 0.500 0.000 0.000